(1)
First-principles (PBE) data for a relaxed structure of AcPr2Os, as listed in Alexandria via LeMat-Bulk.

Output
For the total magnetic moment, the calculation gives 0.00 μB per atom. As for the density of states at the Fermi level: 4.79 states/eV/cell. The value obtained for the formation energy from the elements is 0.30 eV per atom.

Structure (POSCAR):
```
AcPr2Os
1.0
4.027 0.000 0.000
2.014 3.488 0.000
2.014 1.163 10.997
Ac Pr Os
1 2 1
Direct
0.000 0.000 0.000
0.882 0.882 0.353
0.118 0.118 0.647
0.500 0.500 0.500
```

(2)
First-principles (PBE) data for a relaxed structure of AcPr2Os, as listed in Alexandria via LeMat-Bulk.

Output
For the total magnetic moment, the calculation gives 0.00 μB per atom. As for the density of states at the Fermi level: 4.05 states/eV/cell. The value obtained for the formation energy from the elements is 0.14 eV per atom.

Structure (POSCAR):
```
AcPr2Os
1.0
4.211 0.000 0.000
2.105 3.647 0.000
2.105 1.216 9.366
Ac Os Pr
1 1 2
Direct
0.501 0.501 0.497
0.666 0.666 0.002
0.053 0.053 0.842
0.280 0.280 0.160
```

(3)
First-principles (PBE) data for a relaxed structure of AcPr3Os, as listed in Alexandria via LeMat-Bulk.

Output
For the total magnetic moment, the calculation gives 0.00 μB per atom. As for the density of states at the Fermi level: 9.53 states/eV/cell. The value obtained for the formation energy from the elements is 0.07 eV per atom.

Structure (POSCAR):
```
AcPr3Os
1.0
6.739 -0.107 1.910
1.980 6.927 0.447
-0.053 -0.384 7.208
Os Pr Ac
2 6 2
Direct
0.490 0.750 0.750
0.510 0.250 0.250
0.759 0.437 0.934
0.759 0.934 0.437
0.241 0.563 0.066
0.241 0.066 0.563
0.239 0.563 0.563
0.761 0.437 0.437
0.777 0.927 0.927
0.223 0.073 0.073
```

(4)
First-principles (PBE) data for a relaxed structure of AcPr2Os, as listed in Alexandria via LeMat-Bulk.

Output
For the total magnetic moment, the calculation gives 0.00 μB per atom. As for the density of states at the Fermi level: 15.85 states/eV/cell. The value obtained for the formation energy from the elements is -0.06 eV per atom.

Structure (POSCAR):
```
AcPr2Os
1.0
6.658 0.000 0.000
0.000 7.625 0.000
0.000 0.000 10.069
Pr Os Ac
8 4 4
Direct
0.328 0.172 0.070
0.828 0.328 0.930
0.672 0.828 0.570
0.172 0.672 0.070
0.172 0.672 0.430
0.328 0.172 0.430
0.828 0.328 0.570
0.672 0.828 0.930
0.066 0.385 0.250
0.434 0.885 0.250
0.934 0.615 0.750
0.566 0.115 0.750
0.853 0.045 0.250
0.647 0.545 0.250
0.353 0.455 0.750
0.147 0.955 0.750
```

(5)
First-principles (PBE) data for a relaxed structure of AcPr3Os, as listed in Alexandria via LeMat-Bulk.

Output
For the total magnetic moment, the calculation gives 0.06 μB per atom. As for the density of states at the Fermi level: 7.74 states/eV/cell. The value obtained for the formation energy from the elements is 0.11 eV per atom.

Structure (POSCAR):
```
AcPr3Os
1.0
5.714 0.000 0.000
0.000 5.714 0.000
0.000 0.000 5.714
Pr Ac Os
3 1 1
Direct
0.500 0.000 0.000
0.000 0.500 0.000
0.000 0.000 0.500
0.500 0.500 0.500
0.000 0.000 0.000
```

(6)
First-principles (PBE) data for a relaxed structure of Ac2Pr2Os, as listed in Alexandria via LeMat-Bulk.

Output
For the total magnetic moment, the calculation gives 0.00 μB per atom. As for the density of states at the Fermi level: 11.97 states/eV/cell. The value obtained for the formation energy from the elements is 0.09 eV per atom.

Structure (POSCAR):
```
Ac2Pr2Os
1.0
5.086 0.000 -0.781
-0.120 5.085 -0.781
-0.486 -0.498 13.792
Os Pr Ac
2 4 4
Direct
0.750 0.250 0.500
0.500 0.500 0.000
0.684 0.684 0.369
0.566 0.066 0.131
0.316 0.316 0.631
0.934 0.434 0.869
0.065 0.565 0.130
0.185 0.185 0.370
0.815 0.815 0.630
0.435 0.935 0.870
```

(7)
First-principles (PBE) data for a relaxed structure of AcPr2Os, as listed in Alexandria via LeMat-Bulk.

Output
For the total magnetic moment, the calculation gives 0.00 μB per atom. As for the density of states at the Fermi level: 3.03 states/eV/cell. The value obtained for the formation energy from the elements is 0.10 eV per atom.

Structure (POSCAR):
```
AcPr2Os
1.0
3.604 0.000 0.000
0.000 3.604 0.000
0.000 0.000 9.916
Pr Os Ac
2 1 1
Direct
0.000 0.000 0.828
0.000 0.000 0.172
0.500 0.500 0.000
0.500 0.500 0.500
```

(8)
First-principles (PBE) data for a relaxed structure of AcPrZnOs, as listed in Alexandria via LeMat-Bulk.

Output
For the total magnetic moment, the calculation gives 0.00 μB per atom. As for the density of states at the Fermi level: 4.35 states/eV/cell. The value obtained for the formation energy from the elements is 0.00 eV per atom.

Structure (POSCAR):
```
AcPrZnOs
1.0
-4.227 2.665 -1.540
-4.778 -1.781 1.156
-2.941 2.503 3.525
Zn Pr Ac Os
1 1 1 1
Direct
0.500 0.500 0.500
0.250 0.250 0.250
0.750 0.750 0.750
0.000 0.000 0.000
```

(9)
First-principles (PBE) data for a relaxed structure of Ac6OsPt, as listed in Alexandria via LeMat-Bulk.

Output
For the total magnetic moment, the calculation gives 0.00 μB per atom. As for the density of states at the Fermi level: 6.73 states/eV/cell. The value obtained for the formation energy from the elements is -0.33 eV per atom.

Structure (POSCAR):
```
Ac6OsPt
1.0
6.518 0.006 3.394
2.359 6.065 3.413
-0.127 -0.110 8.196
Ac Pt Os
6 1 1
Direct
0.245 0.919 0.245
0.409 0.755 0.755
0.755 0.081 0.755
0.591 0.245 0.245
0.919 0.591 0.245
0.081 0.409 0.755
0.500 0.500 0.500
0.000 0.000 0.000
```

(10)
First-principles (PBE) data for a relaxed structure of Ac8OsPt3, as listed in Alexandria via LeMat-Bulk.

Output
For the total magnetic moment, the calculation gives 0.00 μB per atom. As for the density of states at the Fermi level: 11.01 states/eV/cell. The value obtained for the formation energy from the elements is -0.63 eV per atom.

Structure (POSCAR):
```
Ac8OsPt3
1.0
-7.570 0.380 -0.361
2.357 -7.123 1.137
-0.351 1.272 8.702
Pt Ac Os
3 8 1
Direct
0.000 0.500 0.246
0.500 0.500 0.000
0.500 0.000 0.754
0.255 0.270 0.259
0.740 0.260 0.000
0.260 0.740 0.000
0.745 0.730 0.259
0.264 0.736 0.500
0.736 0.264 0.500
0.730 0.745 0.741
0.270 0.255 0.741
0.500 0.500 0.500
```

(11)
First-principles (PBE) data for a relaxed structure of Ac8Os2Pt, as listed in Alexandria via LeMat-Bulk.

Output
For the total magnetic moment, the calculation gives 0.00 μB per atom. As for the density of states at the Fermi level: 9.71 states/eV/cell. The value obtained for the formation energy from the elements is -0.21 eV per atom.

Structure (POSCAR):
```
Ac8Os2Pt
1.0
7.116 0.067 0.104
-0.030 7.592 2.751
-0.041 0.562 8.056
Ac Pt Os
8 1 2
Direct
0.166 0.135 0.602
0.653 0.877 0.877
0.347 0.123 0.123
0.166 0.602 0.135
0.834 0.398 0.865
0.834 0.865 0.398
0.322 0.630 0.630
0.678 0.370 0.370
0.000 0.000 0.000
0.012 0.769 0.769
0.988 0.231 0.231
```

(12)
First-principles (PBE) data for a relaxed structure of Ac2OsPt, as listed in Alexandria via LeMat-Bulk.

Output
For the total magnetic moment, the calculation gives 0.00 μB per atom. As for the density of states at the Fermi level: 1.99 states/eV/cell. The value obtained for the formation energy from the elements is -0.29 eV per atom.

Structure (POSCAR):
```
Ac2OsPt
1.0
3.671 0.000 0.000
0.000 5.323 0.000
0.000 0.000 5.323
Os Ac Pt
1 2 1
Direct
0.500 0.500 0.500
0.000 0.000 0.500
0.000 0.500 0.000
0.500 0.000 0.000
```

(13)
First-principles (PBE) data for a relaxed structure of Ac8Os3Pt, as listed in Alexandria via LeMat-Bulk.

Output
For the total magnetic moment, the calculation gives 0.00 μB per atom. As for the density of states at the Fermi level: 7.86 states/eV/cell. The value obtained for the formation energy from the elements is -0.14 eV per atom.

Structure (POSCAR):
```
Ac8Os3Pt
1.0
5.717 0.000 -1.683
-0.835 9.154 -2.836
-0.266 -0.040 9.645
Os Ac Pt
3 8 1
Direct
0.707 0.308 0.414
0.396 0.306 0.793
0.608 0.693 0.216
0.876 0.315 0.752
0.230 0.329 0.459
0.121 0.685 0.241
0.658 0.004 0.316
0.342 0.005 0.685
0.558 0.349 0.117
0.447 0.643 0.894
0.766 0.654 0.532
0.288 0.679 0.577
```

(14)
First-principles (PBE) data for a relaxed structure of Ac3OsPt, as listed in Alexandria via LeMat-Bulk.

Output
For the total magnetic moment, the calculation gives 0.00 μB per atom. As for the density of states at the Fermi level: 4.63 states/eV/cell. The value obtained for the formation energy from the elements is -0.42 eV per atom.

Structure (POSCAR):
```
Ac3OsPt
1.0
4.396 0.000 0.904
2.045 7.613 1.197
0.213 -0.342 10.104
Ac Pt Os
6 2 2
Direct
0.345 0.763 0.548
0.275 0.335 0.116
0.725 0.665 0.884
0.031 0.140 0.798
0.655 0.237 0.452
0.969 0.860 0.202
0.606 0.575 0.213
0.394 0.425 0.787
0.683 0.949 0.685
0.317 0.051 0.315
```

(15)
First-principles (PBE) data for a relaxed structure of Ac6OsPtRh2, as listed in Alexandria via LeMat-Bulk.

Output
For the total magnetic moment, the calculation gives 0.00 μB per atom. As for the density of states at the Fermi level: 4.01 states/eV/cell. The value obtained for the formation energy from the elements is -0.54 eV per atom.

Structure (POSCAR):
```
Ac6OsPtRh2
1.0
-4.947 5.025 -2.589
-4.339 -1.675 -5.899
-7.892 -1.416 1.421
Ac Pt Rh Os
6 1 2 1
Direct
0.743 0.091 0.757
0.250 0.921 0.247
0.410 0.741 0.757
0.093 0.410 0.756
0.921 0.583 0.246
0.581 0.251 0.246
0.831 0.832 0.505
0.501 0.500 0.499
0.000 0.000 0.002
0.333 0.332 0.002
```

(16)
First-principles (PBE) data for a relaxed structure of AcThOsPt, as listed in Alexandria via LeMat-Bulk.

Output
For the total magnetic moment, the calculation gives 0.00 μB per atom. As for the density of states at the Fermi level: 1.86 states/eV/cell. The value obtained for the formation energy from the elements is -0.41 eV per atom.

Structure (POSCAR):
```
AcThOsPt
1.0
-0.389 -0.800 -5.093
-2.156 -4.351 -1.776
-4.630 0.160 -2.296
Ac Th Os Pt
1 1 1 1
Direct
0.750 0.750 0.750
0.250 0.250 0.250
0.500 0.500 0.500
0.000 0.000 0.000
```

(17)
First-principles (PBE) data for a relaxed structure of AcPuOs4, as listed in Alexandria via LeMat-Bulk.

Output
For the total magnetic moment, the calculation gives 0.60 μB per atom. As for the density of states at the Fermi level: 4.35 states/eV/cell. The value obtained for the formation energy from the elements is 0.07 eV per atom.

Structure (POSCAR):
```
AcPuOs4
1.0
5.458 0.000 0.000
2.729 4.727 0.000
2.729 1.576 4.457
Os Pu Ac
4 1 1
Direct
0.123 0.626 0.626
0.626 0.123 0.626
0.626 0.626 0.123
0.626 0.626 0.626
0.000 0.000 0.000
0.250 0.250 0.250
```

(18)
First-principles (PBE) data for a relaxed structure of Ac2PuOs2, as listed in Alexandria via LeMat-Bulk.

Output
For the total magnetic moment, the calculation gives 0.97 μB per atom. As for the density of states at the Fermi level: 15.57 states/eV/cell. The value obtained for the formation energy from the elements is -0.02 eV per atom.

Structure (POSCAR):
```
Ac2PuOs2
1.0
5.993 0.034 0.931
2.662 5.370 0.931
0.044 0.027 8.217
Os Ac Pu
4 4 2
Direct
0.998 0.729 0.010
0.271 0.002 0.490
0.002 0.271 0.990
0.729 0.998 0.510
0.777 0.524 0.351
0.476 0.223 0.149
0.524 0.777 0.851
0.223 0.476 0.649
0.107 0.893 0.250
0.893 0.107 0.750
```

(19)
First-principles (PBE) data for a relaxed structure of AcReSi2Os, as listed in Alexandria via LeMat-Bulk.

Output
For the total magnetic moment, the calculation gives 0.00 μB per atom. As for the density of states at the Fermi level: 3.71 states/eV/cell. As for the formation energy (no corrections): -2.40 eV/f.u.

Structure (POSCAR):
```
AcReSi2Os
1.0
4.291 0.000 0.000
0.000 4.291 0.000
-2.146 -2.146 5.205
Si Ac Os Re
2 1 1 1
Direct
0.361 0.361 0.722
0.639 0.639 0.278
0.000 0.000 0.000
0.750 0.250 0.500
0.250 0.750 0.500
```

(20)
First-principles (PBE) data for a relaxed structure of Ac2OsRh, as listed in Alexandria via LeMat-Bulk.

Output
For the total magnetic moment, the calculation gives 0.00 μB per atom. As for the density of states at the Fermi level: 2.96 states/eV/cell. The value obtained for the formation energy from the elements is -0.02 eV per atom.

Structure (POSCAR):
```
Ac2OsRh
1.0
-2.163 2.166 -2.119
-1.376 -4.161 -2.849
-4.026 -0.872 3.218
Rh Os Ac
1 1 2
Direct
0.500 0.500 0.500
0.500 0.000 0.000
0.000 0.000 0.500
0.000 0.500 0.000
```